(1)
This record from Alexandria via LeMat-Bulk describes a geometry-optimized Cd5PdAu4 structure. The functional is PBE.

Geometry as CIF:
```
data_Cd5PdAu4
_space_group_name_H-M_alt 'P 4/m m m'
_space_group_IT_number 123
_space_group_name_Hall '-P 4 2'
_cell_length_a 3.3855
_cell_length_b 3.3855
_cell_length_c 16.6614
_cell_angle_alpha 90.00
_cell_angle_beta 90.00
_cell_angle_gamma 90.00
loop_
_atom_site_label
_atom_site_type_symbol
_atom_site_fract_x
_atom_site_fract_y
_atom_site_fract_z
Cd1 Cd 0.0000 0.0000 0.0000
Cd2 Cd 0.0000 0.0000 0.2044
Cd3 Cd 0.0000 0.0000 0.4072
Pd1 Pd 0.5000 0.5000 0.5000
Au1 Au 0.5000 0.5000 0.1018
Au2 Au 0.5000 0.5000 0.3068
```

Output
total magnetic moment: 0.000 μB per formula unit
energy relative to the elements: -221 meV per atom
Fermi-level density of states: 1.95 states/eV per cell

***

(2)
This record from Alexandria via LeMat-Bulk describes a geometry-optimized Si3Pb structure. The functional is PBE.

Geometry as CIF:
```
data_Si3Pb
_space_group_name_H-M_alt 'P 1 2/m 1'
_space_group_IT_number 10
_cell_length_a 4.4806
_cell_length_b 3.6484
_cell_length_c 5.4245
_cell_angle_alpha 90.00
_cell_angle_beta 106.47
_cell_angle_gamma 90.00
loop_
_space_group_symop_operation_xyz
'x,y,z'
'-x,-y,-z'
'-x,y,-z'
'x,-y,z'
loop_
_atom_site_label
_atom_site_type_symbol
_atom_site_fract_x
_atom_site_fract_y
_atom_site_fract_z
Si1 Si 0.0000 0.0000 0.0000
Si2 Si 0.2549 0.5000 0.8350
Pb1 Pb 0.5000 0.0000 0.5000
```

Output
total magnetic moment: 0.000 μB per formula unit
Fermi-level density of states: 1.78 states/eV per cell
E_form (uncorrected): 0.4184 eV per atom